No. 1
VASP calculation (PBE) on PaMnCo after structural relaxation.

ΔH_f (0 K): -0.24 eV per atom
space-group type: Imma, No. 74
energy above the most stable polymorph in this dataset: 0.0 meV/atom

Lattice parameters (Å, degrees): 5.1109 5.0312 5.0312 59.97 59.47 59.47
Last column: nearest neighbours and their distance in Å.
Atoms (fractional coordinates):
Mn  0.5000  0.5000  0.0000  2 Mn 2.51, 4 Co 2.52
Mn  0.5000  0.0000  0.5000  2 Mn 2.51, 4 Co 2.52
Co  0.0000  0.0000  0.0000  4 Mn 2.52, 2 Co 2.56
Co  0.5000  0.0000  0.0000  4 Mn 2.52, 2 Co 2.56
Pa  0.1249  0.6251  0.6251  6 Mn 2.93-2.98, 6 Co 2.94-2.96, 4 Pa 3.07-3.11
Pa  0.8751  0.3749  0.3749  6 Mn 2.93-2.98, 6 Co 2.94-2.96, 4 Pa 3.07-3.11

No. 2
VASP calculation (PBE) on PaMnCo after structural relaxation.

ΔH_f (0 K): 0.07 eV per atom
space-group type: I4mm, No. 107
energy above the most stable polymorph in this dataset: 310.9 meV/atom

Lattice parameters (Å, degrees): 2.9973 2.9973 5.8570 104.83 104.83 90.00
Last column: nearest neighbours and their distance in Å.
Atoms (fractional coordinates):
Mn  0.3062  0.3062  0.6123  4 Co 2.50
Co  0.6846  0.6846  0.3692  4 Mn 2.50
Pa  0.0092  0.0092  0.0184  4 Co 2.86, 4 Pa 3.00, 4 Mn 3.07

No. 3
VASP calculation (PBE) on PaMnCoPt after structural relaxation.

ΔH_f (0 K): -0.24 eV per atom
space-group type: F-43m, No. 216

Lattice parameters (Å, degrees): 4.6343 4.6343 4.6343 60.00 60.00 60.00
Last column: nearest neighbours and their distance in Å.
Atoms (fractional coordinates):
Pa  0.2500  0.2500  0.2500  4 Co 2.84, 4 Pt 2.84
Pt  0.5000  0.5000  0.5000  4 Pa 2.84, 4 Mn 2.84
Mn  0.7500  0.7500  0.7500  4 Co 2.84, 4 Pt 2.84
Co  0.0000  0.0000  0.0000  4 Mn 2.84, 4 Pa 2.84

No. 4
VASP calculation (PBE) on Pa2MnCoS5 after structural relaxation.

uncorrected formation energy: -1.19 eV per atom
space-group type: Cmc2_1, No. 36

Lattice parameters (Å, degrees): 3.6770 7.9620 11.3039 90.00 90.00 103.35
Last column: nearest neighbours and their distance in Å.
Atoms (fractional coordinates):
Pa  0.8776  0.7553  0.2005  8 S 2.73-2.96
Pa  0.8874  0.7748  0.8464  8 S 2.73-3.03
Pa  0.1224  0.2447  0.7005  8 S 2.73-2.96
Pa  0.1126  0.2252  0.3464  8 S 2.73-3.03
S  0.4972  0.9945  0.7488  1 Co 2.14
S  0.6931  0.3862  0.1828  2 Mn 2.58, 3 Pa 2.87-2.89
S  0.0131  0.0262  0.0160  2 Co 2.23, 1 Mn 2.42
S  0.9869  0.9738  0.5160  2 Co 2.23, 1 Mn 2.42
S  0.5028  0.0055  0.2488  1 Co 2.14
S  0.3069  0.6138  0.6828  2 Mn 2.58, 3 Pa 2.87-2.89
S  0.6658  0.3316  0.5212  1 Mn 2.56, 4 Pa 2.82
S  0.3342  0.6684  0.0212  1 Mn 2.56, 4 Pa 2.82
S  0.3079  0.6159  0.3621  1 Co 2.22
S  0.6921  0.3841  0.8621  1 Co 2.22
Mn  0.1690  0.3380  0.0259  6 S 2.42-2.63
Mn  0.8310  0.6620  0.5259  6 S 2.42-2.63
Co  0.4447  0.8893  0.4204  4 S 2.14-2.23
Co  0.5553  0.1107  0.9204  4 S 2.14-2.23

No. 5
VASP calculation (PBE) on PaMn2CoSi2 after structural relaxation.

uncorrected formation energy: -0.01 eV per atom
space-group type: P4/mmm, No. 123

Lattice parameters (Å, degrees): 4.3740 4.3740 5.0076 90.00 90.00 90.00
Last column: nearest neighbours and their distance in Å.
Atoms (fractional coordinates):
Pa  0.0000  0.0000  0.5000  2 Co 2.50
Mn  0.5000  0.5000  0.2539  2 Mn 2.46-2.54, 4 Si 2.53
Mn  0.5000  0.5000  0.7461  2 Mn 2.46-2.54, 4 Si 2.53
Si  0.5000  0.0000  0.0000  2 Co 2.19
Si  0.0000  0.5000  0.0000  2 Co 2.19
Co  0.0000  0.0000  0.0000  4 Si 2.19

No. 6
VASP calculation (PBE) on PaMnCoTc after structural relaxation.

ΔH_f (0 K): -0.02 eV per atom
space-group type: F-43m, No. 216

Lattice parameters (Å, degrees): 4.5030 4.5030 4.5030 60.00 60.00 60.00
Last column: nearest neighbours and their distance in Å.
Atoms (fractional coordinates):
Co  0.0000  0.0000  0.0000  4 Mn 2.76, 4 Pa 2.76
Mn  0.7500  0.7500  0.7500  4 Tc 2.76, 4 Co 2.76
Tc  0.5000  0.5000  0.5000  4 Pa 2.76, 4 Mn 2.76
Pa  0.2500  0.2500  0.2500  4 Co 2.76, 4 Tc 2.76

No. 7
VASP calculation (PBE) on PaMnZnCo after structural relaxation.

ΔH_f (0 K): -0.03 eV per atom
space-group type: F-43m, No. 216

Lattice parameters (Å, degrees): 4.4043 4.4043 4.4043 60.00 60.00 60.00
Last column: nearest neighbours and their distance in Å.
Atoms (fractional coordinates):
Zn  0.7500  0.7500  0.7500  4 Mn 2.70, 4 Co 2.70
Co  0.5000  0.5000  0.5000  4 Pa 2.70, 4 Zn 2.70
Mn  0.0000  0.0000  0.0000  4 Zn 2.70, 4 Pa 2.70
Pa  0.2500  0.2500  0.2500  4 Mn 2.70, 4 Co 2.70

No. 8
VASP calculation (PBE) on Pa2Mn2ZnCo5 after structural relaxation.

ΔH_f (0 K): -0.09 eV per atom
space-group type: P4/mbm, No. 127

Lattice parameters (Å, degrees): 3.9082 8.5300 8.5300 90.00 90.00 90.00
Last column: nearest neighbours and their distance in Å.
Atoms (fractional coordinates):
Co  0.5000  0.0701  0.8079  2 Mn 2.47, 3 Co 2.47-2.69, 2 Zn 2.62
Co  0.5000  0.3079  0.5701  2 Mn 2.47, 3 Co 2.47-2.69, 2 Zn 2.62
Co  0.5000  0.1921  0.0701  2 Mn 2.47, 3 Co 2.47-2.69, 2 Zn 2.62
Co  0.5000  0.8079  0.9299  2 Mn 2.47, 3 Co 2.47-2.69, 2 Zn 2.62
Co  0.5000  0.5000  0.0000  4 Mn 2.68, 4 Co 2.69, 4 Pa 2.74
Co  0.5000  0.0000  0.5000  4 Mn 2.68, 4 Co 2.69, 4 Pa 2.74
Co  0.5000  0.5701  0.6921  2 Mn 2.47, 3 Co 2.47-2.69, 2 Zn 2.62
Co  0.5000  0.6921  0.4299  2 Mn 2.47, 3 Co 2.47-2.69, 2 Zn 2.62
Co  0.5000  0.4299  0.3079  2 Mn 2.47, 3 Co 2.47-2.69, 2 Zn 2.62
Co  0.5000  0.9299  0.1921  2 Mn 2.47, 3 Co 2.47-2.69, 2 Zn 2.62
Pa  0.0000  0.1594  0.3406  1 Mn 2.28
Pa  0.0000  0.8406  0.6594  1 Mn 2.28
Pa  0.0000  0.6594  0.1594  1 Mn 2.28
Pa  0.0000  0.3406  0.8406  1 Mn 2.28
Zn  0.0000  0.5000  0.5000  8 Co 2.62
Zn  0.0000  0.0000  0.0000  8 Co 2.62
Mn  0.0000  0.3482  0.1518  1 Pa 2.28, 4 Co 2.47
Mn  0.0000  0.8482  0.3482  1 Pa 2.28, 4 Co 2.47
Mn  0.0000  0.1518  0.6518  1 Pa 2.28, 4 Co 2.47
Mn  0.0000  0.6518  0.8482  1 Pa 2.28, 4 Co 2.47

No. 9
VASP calculation (PBE) on ZrPaMnCo after structural relaxation.

ΔH_f (0 K): -0.04 eV per atom
space-group type: F-43m, No. 216

Lattice parameters (Å, degrees): 4.6032 4.6032 4.6032 60.00 60.00 60.00
Last column: nearest neighbours and their distance in Å.
Atoms (fractional coordinates):
Zr  0.7500  0.7500  0.7500  4 Mn 2.82, 4 Co 2.82
Mn  0.0000  0.0000  0.0000  4 Pa 2.82, 4 Zr 2.82
Pa  0.2500  0.2500  0.2500  4 Co 2.82, 4 Mn 2.82
Co  0.5000  0.5000  0.5000  4 Zr 2.82, 4 Pa 2.82

No. 10
VASP calculation (PBE) on MnCo2Pb after structural relaxation.

ΔH_f (0 K): 0.64 eV per atom
space-group type: R-3m, No. 166

Lattice parameters (Å, degrees): 8.2379 8.2379 8.2379 21.10 21.10 21.10
Last column: nearest neighbours and their distance in Å.
Atoms (fractional coordinates):
Mn  0.2500  0.2500  0.2500  6 Co 2.51
Pb  0.7500  0.7500  0.7500  6 Co 2.82, 6 Pb 3.02
Co  0.5084  0.5084  0.5084  3 Mn 2.51
Co  0.9916  0.9916  0.9916  3 Mn 2.51

No. 11
VASP calculation (PBE) on MnCo2Pb after structural relaxation.

ΔH_f (0 K): 0.38 eV per atom
space-group type: I-4m2, No. 119

Lattice parameters (Å, degrees): 4.8396 4.8396 4.8396 133.74 133.74 67.49
Last column: nearest neighbours and their distance in Å.
Atoms (fractional coordinates):
Mn  0.5000  0.5000  0.0000  8 Co 2.69-2.77, 4 Pb 2.77
Co  0.0000  0.0000  0.0000  4 Mn 2.69, 4 Pb 2.77, 4 Co 2.77
Co  0.2500  0.7500  0.5000  4 Pb 2.69, 4 Mn 2.77, 4 Co 2.77
Pb  0.7500  0.2500  0.5000  8 Co 2.69-2.77, 4 Mn 2.77

No. 12
VASP calculation (PBE) on MnCo2Pb after structural relaxation.

ΔH_f (0 K): 0.58 eV per atom
space-group type: C2/m, No. 12

Lattice parameters (Å, degrees): 4.9978 5.0463 2.9368 76.68 82.97 117.36
Last column: nearest neighbours and their distance in Å.
Atoms (fractional coordinates):
Co  0.5000  0.0000  0.5000  2 Pb 2.61, 2 Mn 2.61, 2 Co 2.74
Co  0.0000  0.0000  0.0000  2 Mn 2.61, 2 Pb 2.61, 2 Co 2.74
Mn  0.0000  0.5000  0.5000  4 Co 2.61, 2 Pb 2.74
Pb  0.5000  0.5000  0.0000  4 Co 2.61, 2 Mn 2.74

No. 13
VASP calculation (PBE) on MnCo3Pb after structural relaxation.

ΔH_f (0 K): 1.03 eV per atom
space-group type: Pm-3m, No. 221
energy above the most stable polymorph in this dataset: 0.0 meV/atom

Lattice parameters (Å, degrees): 4.2841 4.2841 4.2841 90.00 90.00 90.00
Last column: nearest neighbours and their distance in Å.
Atoms (fractional coordinates):
Pb  0.5000  0.5000  0.5000  12 Co 3.03
Co  0.0000  0.5000  0.0000  2 Mn 2.14
Co  0.5000  0.0000  0.0000  2 Mn 2.14
Co  0.0000  0.0000  0.5000  2 Mn 2.14
Mn  0.0000  0.0000  0.0000  6 Co 2.14

No. 14
VASP calculation (PBE) on MnCoPb4 after structural relaxation.

ΔH_f (0 K): 0.97 eV per atom
space-group type: F-43m, No. 216

Lattice parameters (Å, degrees): 6.3032 6.3032 6.3032 60.00 60.00 60.00
Last column: nearest neighbours and their distance in Å.
Atoms (fractional coordinates):
Pb  0.3749  0.8753  0.3749  6 Pb 3.15
Pb  0.8753  0.3749  0.3749  6 Pb 3.15
Pb  0.3749  0.3749  0.8753  6 Pb 3.15
Pb  0.3749  0.3749  0.3749  6 Pb 3.15
Co  0.7500  0.7500  0.7500  12 Pb 3.70, 4 Mn 3.86
Mn  0.0000  0.0000  0.0000  12 Pb 3.70, 4 Co 3.86

No. 15
VASP calculation (PBE) on MnCoPb after structural relaxation.

ΔH_f (0 K): 0.43 eV per atom
space-group type: F-43m, No. 216
energy above the most stable polymorph in this dataset: 30.5 meV/atom

Lattice parameters (Å, degrees): 4.2539 4.2539 4.2539 60.00 60.00 60.00
Last column: nearest neighbours and their distance in Å.
Atoms (fractional coordinates):
Pb  0.5000  0.5000  0.5000  4 Co 2.60
Co  0.7500  0.7500  0.7500  4 Mn 2.60, 4 Pb 2.60
Mn  0.0000  0.0000  0.0000  4 Co 2.60

No. 16
VASP calculation (PBE) on MnCoPb after structural relaxation.

ΔH_f (0 K): 0.40 eV per atom
space-group type: I4mm, No. 107
energy above the most stable polymorph in this dataset: 0.0 meV/atom

Lattice parameters (Å, degrees): 5.2049 5.2052 3.3172 71.41 71.42 37.16
Last column: nearest neighbours and their distance in Å.
Atoms (fractional coordinates):
Co  0.0244  0.0244  0.9756  4 Mn 2.58
Pb  0.3359  0.3359  0.6641  5 Mn 2.82-2.97, 5 Co 2.89-2.93
Mn  0.6397  0.6397  0.3603  4 Co 2.58, 1 Pb 2.82

No. 17
VASP calculation (PBE) on MnCoPb after structural relaxation.

ΔH_f (0 K): 0.50 eV per atom
space-group type: P3m1, No. 156
energy above the most stable polymorph in this dataset: 101.5 meV/atom

Lattice parameters (Å, degrees): 4.2678 4.2678 3.1978 90.00 90.00 120.00
Last column: nearest neighbours and their distance in Å.
Atoms (fractional coordinates):
Co  0.0000  0.0000  0.0424  3 Mn 2.56, 3 Pb 2.70
Mn  0.6667  0.3333  0.2619  3 Co 2.56, 3 Pb 2.83
Pb  0.3333  0.6667  0.6957  3 Co 2.70, 3 Mn 2.83

No. 18
VASP calculation (PBE) on Mn4CoPb after structural relaxation.

ΔH_f (0 K): 0.50 eV per atom
space-group type: F-43m, No. 216

Lattice parameters (Å, degrees): 4.8724 4.8724 4.8724 60.00 60.00 60.00
Last column: nearest neighbours and their distance in Å.
Atoms (fractional coordinates):
Mn  0.3747  0.3747  0.3747  6 Mn 2.43-2.44
Mn  0.3747  0.3747  0.8758  6 Mn 2.43-2.44
Mn  0.8758  0.3747  0.3747  6 Mn 2.43-2.44
Mn  0.3747  0.8758  0.3747  6 Mn 2.43-2.44
Co  0.0000  0.0000  0.0000  12 Mn 2.86, 4 Pb 2.98
Pb  0.7500  0.7500  0.7500  12 Mn 2.86, 4 Co 2.98

No. 19
VASP calculation (PBE) on MnCo2Pb after structural relaxation.

ΔH_f (0 K): 0.43 eV per atom
space-group type: C2/m, No. 12

Lattice parameters (Å, degrees): 4.4193 4.4193 4.9028 77.94 77.94 40.13
Last column: nearest neighbours and their distance in Å.
Atoms (fractional coordinates):
Mn  0.7500  0.7500  0.7500  6 Co 2.51-2.58
Co  0.0119  0.0119  0.9511  3 Mn 2.51-2.58, 2 Co 2.53, 3 Pb 2.71-2.79
Co  0.4881  0.4881  0.5489  3 Mn 2.51-2.58, 2 Co 2.53, 3 Pb 2.71-2.79
Pb  0.2500  0.2500  0.2500  6 Co 2.71-2.79, 4 Mn 2.88, 2 Pb 3.03

No. 20
VASP calculation (PBE) on MnCo2Pb after structural relaxation.

ΔH_f (0 K): 0.39 eV per atom
space-group type: P4mm, No. 99

Lattice parameters (Å, degrees): 3.0515 3.0515 6.9312 90.00 90.00 90.00
Last column: nearest neighbours and their distance in Å.
Atoms (fractional coordinates):
Co  0.0000  0.0000  0.0637  4 Co 2.44, 1 Mn 2.56
Co  0.5000  0.5000  0.2283  4 Co 2.44, 4 Mn 2.58
Pb  0.5000  0.5000  0.7752  5 Co 2.94-3.14, 4 Pb 3.05, 4 Mn 3.21
Mn  0.0000  0.0000  0.4328  5 Co 2.56-2.58